1.
An optimized crystal structure of CuH8Pd6. Source: Alexandria, functional PBE-GGA.

```
CuH8Pd6
1.0
-2.677 -4.269 -2.334
1.787 -5.190 0.838
-3.216 -3.512 3.506
Pd H Cu
6 8 1
Direct
0.515 0.917 0.264
0.695 0.485 0.736
0.485 0.083 0.736
0.305 0.515 0.264
0.083 0.695 0.736
0.917 0.305 0.264
0.301 0.301 0.098
0.853 0.619 0.352
0.824 0.147 0.648
0.176 0.853 0.352
0.147 0.381 0.648
0.699 0.699 0.902
0.619 0.176 0.352
0.381 0.824 0.648
0.000 0.000 0.000
```

Output
Calculated volume = 133 Å³ per cell
Space-group type = R-3 (148)
Energy relative to the lowest polymorph listed for this composition = 1.45 kJ per mole of atoms
Total moment = 0.000 μB/atom
Total DFT energy (no corrections) = -4.144 eV/atom

=====

2.
An optimized crystal structure of LiTl3Pd3. Source: Alexandria, functional PBE-GGA.

```
LiTl3Pd3
1.0
5.714 0.365 0.279
-2.219 5.279 0.279
-0.375 -0.606 8.864
Li Tl Pd
2 6 6
Direct
0.729 0.729 0.974
0.271 0.271 0.026
0.827 0.173 0.500
0.462 0.462 0.696
0.226 0.774 0.000
0.173 0.827 0.500
0.538 0.538 0.304
0.774 0.226 0.000
0.025 0.025 0.769
0.973 0.514 0.746
0.514 0.973 0.746
0.027 0.486 0.254
0.975 0.975 0.231
0.486 0.027 0.254
```

Output
Calculated volume = 276 Å³ per cell
Space-group type = C2/m (12)
Energy of formation = -0.22 eV/atom
Energy relative to the lowest polymorph listed for this composition = 0.00 kJ per mole of atoms
Total moment = 0.000 μB/atom
Total DFT energy (no corrections) = -3.732 eV/atom

=====

3.
An optimized crystal structure of ZnPtRh2. Source: Alexandria, functional PBE-GGA.

```
ZnPtRh2
1.0
3.710 0.000 0.000
0.000 3.710 0.000
1.855 1.855 9.186
Rh Pt Zn
4 2 2
Direct
0.375 0.372 0.750
0.122 0.625 0.250
0.875 0.878 0.750
0.628 0.125 0.250
0.750 0.250 0.500
0.000 0.000 0.000
0.500 0.500 0.000
0.250 0.750 0.500
```

Output
Calculated volume = 126 Å³ per cell
Space-group type = I-42d (122)
Energy of formation = 0.17 eV/atom
Total moment = 0.000 μB/atom
Total DFT energy (no corrections) = -5.330 eV/atom

=====

4.
An optimized crystal structure of PrIn3Te6. Source: Alexandria, functional PBE-GGA.

```
PrIn3Te6
1.0
-2.078 3.824 -0.591
-9.939 -6.175 -5.019
-0.678 1.607 12.783
Te In Pr
12 6 2
Direct
0.750 0.802 0.726
0.250 0.075 0.915
0.750 0.454 0.586
0.250 0.905 0.527
0.250 0.546 0.414
0.250 0.198 0.274
0.750 0.095 0.473
0.250 0.272 0.753
0.750 0.925 0.085
0.750 0.728 0.247
0.250 0.621 0.939
0.750 0.379 0.061
0.750 0.716 0.471
0.250 0.284 0.529
0.750 0.169 0.113
0.250 0.527 0.188
0.750 0.473 0.812
0.250 0.831 0.887
0.250 0.938 0.282
0.750 0.062 0.718
```

Output
Calculated volume = 658 Å³ per cell
Space-group type = P2_1/m (11)
E_form (uncorrected) = -0.524 eV/atom
Total moment = 0.000 μB/atom
Total DFT energy (no corrections) = -3.709 eV/atom

=====

5.
An optimized crystal structure of YTl3S3. Source: Alexandria, functional PBE-GGA.

```
YTl3S3
1.0
4.066 0.000 0.000
0.000 8.766 0.048
0.000 0.676 11.916
S Tl Y
6 6 2
Direct
0.250 0.327 0.608
0.750 0.673 0.392
0.750 0.102 0.386
0.750 0.095 0.847
0.250 0.905 0.153
0.250 0.898 0.614
0.250 0.334 0.855
0.250 0.856 0.875
0.250 0.385 0.364
0.750 0.144 0.125
0.750 0.615 0.636
0.750 0.666 0.145
0.750 0.113 0.616
0.250 0.887 0.384
```

Output
Calculated volume = 425 Å³ per cell
Space-group type = P2_1/m (11)
E_form (uncorrected) = -1.013 eV/atom
Total moment = 0.000 μB/atom
Total DFT energy (no corrections) = -4.719 eV/atom

=====

6.
An optimized crystal structure of Tm6CdS4. Source: Alexandria, functional PBE-GGA.

```
Tm6CdS4
1.0
3.879 0.000 0.000
-1.939 6.407 0.000
0.000 0.000 19.782
Tm S Cd
12 8 2
Direct
0.230 0.459 0.585
0.500 0.000 0.500
0.230 0.459 0.915
0.345 0.689 0.250
0.960 0.921 0.659
0.500 0.000 0.000
0.040 0.079 0.341
0.770 0.541 0.085
0.770 0.541 0.415
0.040 0.079 0.159
0.655 0.311 0.750
0.960 0.921 0.841
0.594 0.188 0.879
0.138 0.275 0.039
0.862 0.725 0.961
0.594 0.188 0.621
0.862 0.725 0.539
0.406 0.812 0.121
0.138 0.275 0.461
0.406 0.812 0.379
0.662 0.324 0.250
0.338 0.676 0.750
```

Output
Calculated volume = 492 Å³ per cell
Space-group type = Cmcm (63)
E_form (uncorrected) = -1.486 eV/atom
Total moment = 0.000 μB/atom
Total DFT energy (no corrections) = -5.509 eV/atom

=====

7.
An optimized crystal structure of BaSr2Pb. Source: Alexandria, functional PBE-GGA.

```
BaSr2Pb
1.0
5.698 0.000 0.000
2.849 4.934 0.000
2.849 1.645 6.992
Ba Pb Sr
1 1 2
Direct
0.496 0.496 0.512
0.674 0.674 0.978
0.279 0.279 0.162
0.051 0.051 0.848
```

Output
Calculated volume = 197 Å³ per cell
Space-group type = R3m (160)
Energy of formation = -0.24 eV/atom
Total moment = 0.002 μB/atom
Total DFT energy (no corrections) = -2.494 eV/atom

=====

8.
An optimized crystal structure of KRe2Te. Source: Alexandria, functional PBE-GGA.

```
KRe2Te
1.0
2.825 -0.017 0.000
-1.091 2.606 0.000
0.000 0.000 11.071
K Re Te
1 2 1
Direct
0.500 0.500 0.750
0.000 0.000 0.019
0.000 0.000 0.481
0.500 0.500 0.250
```

Output
Calculated volume = 81 Å³ per cell
Space-group type = Cmmm (65)
E_form (uncorrected) = 1.473 eV/atom
Total moment = 0.000 μB/atom
Total DFT energy (no corrections) = -5.811 eV/atom

=====

9.
An optimized crystal structure of CaMg2P. Source: Alexandria, functional PBE-GGA.

```
CaMg2P
1.0
-2.714 1.912 -0.824
-1.746 -2.841 -0.761
-2.603 -0.430 7.581
Ca P Mg
1 1 2
Direct
0.500 0.500 0.750
0.500 0.500 0.250
0.000 0.000 0.431
0.000 0.000 0.069
```

Output
Calculated volume = 94 Å³ per cell
Space-group type = Cmmm (65)
Energy of formation = -0.17 eV/atom
Total moment = 0.000 μB/atom
Total DFT energy (no corrections) = -2.824 eV/atom

=====

10.
An optimized crystal structure of RuRhAu2. Source: Alexandria, functional PBE-GGA.

```
RuRhAu2
1.0
4.530 0.000 0.000
2.265 3.923 0.000
2.265 1.308 3.698
Ru Rh Au
1 1 2
Direct
0.250 0.250 0.250
0.500 0.500 0.500
0.750 0.750 0.750
0.000 0.000 0.000
```

Output
Calculated volume = 66 Å³ per cell
Space-group type = F-43m (216)
Energy of formation = 0.45 eV/atom
Energy relative to the lowest polymorph listed for this composition = 29.46 kJ per mole of atoms
Total moment = 0.557 μB/atom
Total DFT energy (no corrections) = -5.342 eV/atom

=====

11.
An optimized crystal structure of PmHo2Ag. Source: Alexandria, functional PBE-GGA.

```
PmHo2Ag
1.0
5.395 0.000 0.000
2.698 4.672 0.000
2.698 1.557 4.405
Ag Ho Pm
1 2 1
Direct
0.500 0.500 0.500
0.250 0.250 0.250
0.750 0.750 0.750
0.000 0.000 0.000
```

Output
Calculated volume = 111 Å³ per cell
Space-group type = Fm-3m (225)
Energy of formation = 0.10 eV/atom
Energy relative to the lowest polymorph listed for this composition = 22.62 kJ per mole of atoms
Total moment = 0.000 μB/atom
Total DFT energy (no corrections) = -4.090 eV/atom

=====

12.
An optimized crystal structure of SrGeNO2. Source: Alexandria, functional PBE-GGA.

```
SrGeNO2
1.0
4.586 0.000 0.000
0.000 4.586 0.000
0.000 0.000 4.789
Ge N O Sr
1 1 2 1
Direct
0.500 0.500 0.500
0.000 0.000 0.500
0.500 0.000 0.000
0.000 0.500 0.000
0.000 0.000 0.000
```

Output
Calculated volume = 101 Å³ per cell
Space-group type = P4/mmm (123)
E_form (uncorrected) = 0.565 eV/atom
Total moment = 0.600 μB/atom
Total DFT energy (no corrections) = -4.343 eV/atom

=====

13.
An optimized crystal structure of CsBaSe2N. Source: Alexandria, functional PBE-GGA.

```
CsBaSe2N
1.0
-4.542 3.867 1.148
-1.434 0.068 -5.902
-2.985 -3.708 0.682
Ba Cs N Se
1 1 1 2
Direct
0.500 0.500 0.500
0.000 0.000 0.000
0.000 0.000 0.500
0.500 0.000 0.000
0.000 0.500 0.000
```

Output
Calculated volume = 177 Å³ per cell
Space-group type = P4/mmm (123)
E_form (uncorrected) = 0.487 eV/atom
Energy relative to the lowest polymorph listed for this composition = 41.46 kJ per mole of atoms
Total moment = 0.476 μB/atom
Total DFT energy (no corrections) = -3.127 eV/atom

=====

14.
An optimized crystal structure of Pm3Tl. Source: Alexandria, functional PBE-GGA.

```
Pm3Tl
1.0
3.625 0.000 0.000
0.000 6.111 0.000
-1.812 -3.055 5.685
Pm Tl
3 1
Direct
0.728 0.069 0.455
0.272 0.614 0.545
0.500 0.471 0.000
0.000 0.012 0.000
```

Output
Calculated volume = 126 Å³ per cell
Space-group type = Imm2 (44)
Energy of formation = -0.19 eV/atom
Energy relative to the lowest polymorph listed for this composition = 1.62 kJ per mole of atoms
Total moment = 0.000 μB/atom
Total DFT energy (no corrections) = -4.340 eV/atom

=====

15.
An optimized crystal structure of NaPmHgF6. Source: Alexandria, functional PBE-GGA.

```
NaPmHgF6
1.0
6.152 0.000 0.000
-3.076 5.328 0.000
0.000 0.000 9.286
F Hg Na Pm
12 2 2 2
Direct
0.337 0.346 0.872
0.008 0.346 0.628
0.654 0.992 0.872
0.654 0.663 0.628
0.992 0.337 0.128
0.663 0.654 0.128
0.663 0.008 0.372
0.992 0.654 0.372
0.337 0.992 0.628
0.346 0.008 0.128
0.008 0.663 0.872
0.346 0.337 0.372
0.667 0.333 0.750
0.333 0.667 0.250
0.000 0.000 0.500
0.000 0.000 0.000
0.667 0.333 0.250
0.333 0.667 0.750
```

Output
Calculated volume = 304 Å³ per cell
Space-group type = P-31c (163)
E_form (uncorrected) = -2.829 eV/atom
Total moment = 0.000 μB/atom
Total DFT energy (no corrections) = -4.784 eV/atom

=====

16.
An optimized crystal structure of LaMgSb3. Source: Alexandria, functional PBE-GGA.

```
LaMgSb3
1.0
-4.987 -3.122 1.244
2.071 -4.608 -3.262
2.647 -2.277 4.896
Sb Mg La
3 1 1
Direct
0.500 0.000 0.000
0.000 0.500 0.000
0.000 0.000 0.500
0.500 0.500 0.500
0.000 0.000 0.000
```

Output
Calculated volume = 217 Å³ per cell
Space-group type = Pm-3m (221)
E_form (uncorrected) = 0.482 eV/atom
Energy relative to the lowest polymorph listed for this composition = 105.82 kJ per mole of atoms
Total moment = 0.000 μB/atom
Total DFT energy (no corrections) = -3.296 eV/atom

=====

17.
An optimized crystal structure of La2YCu. Source: Alexandria, functional PBE-GGA.

```
La2YCu
1.0
5.950 -0.019 -0.054
-2.583 5.640 -0.006
0.784 1.160 3.391
Cu La Y
1 2 1
Direct
0.500 0.500 0.000
0.500 0.000 0.500
0.000 0.000 0.000
0.000 0.500 0.500
```

Output
Calculated volume = 114 Å³ per cell
Space-group type = C2/m (12)
Energy of formation = 0.21 eV/atom
Energy relative to the lowest polymorph listed for this composition = 27.01 kJ per mole of atoms
Total moment = 0.000 μB/atom
Total DFT energy (no corrections) = -4.898 eV/atom

=====

18.
An optimized crystal structure of CdMoPt3. Source: Alexandria, functional PBE-GGA.

```
CdMoPt3
1.0
4.850 0.000 0.000
0.000 4.850 0.000
0.000 0.000 4.850
Pt Mo Cd
3 1 1
Direct
0.000 0.000 0.500
0.000 0.500 0.000
0.500 0.000 0.000
0.000 0.000 0.000
0.500 0.500 0.500
```

Output
Calculated volume = 114 Å³ per cell
Space-group type = Pm-3m (221)
Energy of formation = 0.92 eV/atom
Energy relative to the lowest polymorph listed for this composition = 0.00 kJ per mole of atoms
Total moment = 0.000 μB/atom
Total DFT energy (no corrections) = -5.058 eV/atom

=====

19.
An optimized crystal structure of Mg3Au. Source: Alexandria, functional PBE-GGA.

```
Mg3Au
1.0
5.074 -0.001 0.000
1.298 4.905 0.000
-3.186 -2.452 3.095
Mg Au
3 1
Direct
0.500 0.500 0.000
0.750 0.250 0.500
0.250 0.750 0.500
0.000 0.000 0.000
```

Output
Calculated volume = 77 Å³ per cell
Space-group type = I4/mmm (139)
Energy of formation = -0.33 eV/atom
Energy relative to the lowest polymorph listed for this composition = 8.70 kJ per mole of atoms
Total moment = 0.000 μB/atom
Total DFT energy (no corrections) = -2.341 eV/atom

=====

20.
An optimized crystal structure of ZnFe2Ag. Source: Alexandria, functional PBE-GGA.

```
ZnFe2Ag
1.0
-3.571 -2.662 -1.810
-2.378 -2.560 3.302
1.307 4.609 -0.401
Fe Ag Zn
2 1 1
Direct
0.000 0.000 0.000
0.500 0.500 0.000
0.250 0.750 0.500
0.750 0.250 0.500
```

Output
Calculated volume = 56 Å³ per cell
Space-group type = I4/mmm (139)
Energy of formation = 0.22 eV/atom
Total moment = 1.275 μB/atom
Total DFT energy (no corrections) = -5.038 eV/atom